Below is crystalline ZrVSi at its relaxed geometry, with properties calculated at the GGA-PBE level.

Output
- Crystal system: monoclinic
- E: -8.10 eV per atom
- M_tot: 0.00 μB/atom
- SG: Cm, No. 8
- Density of states at the Fermi level: 1.88 states/eV/f.u.
- Mass density: 5.67 g cm⁻³

abc: 6.945 3.528 9.745
angles: 90.00 123.36 90.00
Sites, in units of the cell vectors:
Si1 0.329 0.000 0.876
Si2 0.329 0.500 0.376
Si3 0.954 0.000 0.867
Si4 0.954 0.500 0.367
Zr1 0.291 0.000 0.577
Zr2 0.291 0.500 0.077
Zr3 0.666 0.000 0.424
Zr4 0.666 0.500 0.924
V1 0.703 0.000 0.169
V2 0.703 0.500 0.669
V3 0.050 0.000 0.184
V4 0.050 0.500 0.684